Record 1
20
Lattice="3.5753 0.0000 0.0000 0.0000 9.6782 0.0000 0.0000 0.0000 9.6782" Properties=species:S:1:pos:R:3 comment="Dy2FeGe2Rh5 | the Alexandria database | GGA-PBE | relaxed" total_magnetization_mub_per_atom=0.378 ef_ev_per_atom=-0.654 spacegroup=P4/mbm pbc="T T T"
Ge 0.0000 8.4542 3.6151
Dy 0.0000 6.5143 1.6752
Rh 1.7877 0.6312 7.7173
Rh 1.7877 4.8391 0.0000
Dy 0.0000 1.6752 3.1639
Dy 0.0000 8.0031 6.5143
Ge 0.0000 3.6151 1.2241
Rh 1.7877 4.2080 2.8782
Dy 0.0000 3.1639 8.0031
Rh 1.7877 1.9610 0.6312
Rh 1.7877 5.4703 6.8001
Ge 0.0000 6.0632 8.4542
Rh 1.7877 7.7173 9.0471
Rh 1.7877 6.8001 4.2080
Rh 1.7877 9.0471 1.9610
Ge 0.0000 1.2241 6.0632
Rh 1.7877 0.0000 4.8391
Rh 1.7877 2.8782 5.4703
Fe 0.0000 4.8391 4.8391
Fe 0.0000 0.0000 0.0000

=====

Record 2
12
Lattice="-1.9165 -4.7850 -5.8710 0.3923 -2.7424 7.3049 -6.7649 4.1710 0.5388" Properties=species:S:1:pos:R:3 comment="Na3Sm2PuTe6 | the Alexandria database | GGA-PBE | relaxed" total_magnetization_mub_per_atom=0.417 spacegroup=C2/m e_form_raw_mev_per_atom=-1218 pbc="T T T"
Na -3.3752 -0.9976 5.3768
Te -5.5550 1.2734 0.7760
Na -4.1445 -1.6782 0.9864
Sm -1.1466 -4.1038 -1.4773
Pu 0.0000 0.0000 0.0000
Te -1.5868 -0.5194 2.6712
Sm -0.3776 -3.4235 2.9113
Na -4.9138 -2.3588 -3.4040
Te -2.3552 -1.1992 -1.7141
Te -2.7341 -4.6297 1.1968
Te -5.9338 -2.1571 3.6868
Te -6.7022 -2.8369 -0.6985

=====

Record 3
16
Lattice="-1.4074 6.4041 2.8048 -6.9156 -0.8551 -1.5178 -1.0267 -3.0194 6.3788" Properties=species:S:1:pos:R:3 comment="ZrB | the Alexandria database | GGA-PBE | relaxed" total_magnetization_mub_per_atom=0.000 ef_ev_per_atom=0.748 spacegroup=I-43m pbc="T T T"
B -3.6329 0.0412 4.5601
B -7.0090 -2.4066 4.5674
B -6.0100 1.6260 4.9277
B -1.3352 0.3612 1.0947
Zr -5.8276 -0.5483 4.1956
Zr -3.8843 2.0127 5.7206
Zr -6.1250 -0.1072 0.3699
B -7.2810 4.3254 2.0142
B -5.3148 0.6593 2.3047
B -3.7416 2.7326 3.5393
Zr -7.7004 2.0834 6.3136
Zr -3.0256 0.8186 2.4807
Zr -2.5601 4.5910 3.1675
Zr -2.3137 -1.5079 5.4806
Zr -5.9619 2.7762 2.9347
B -3.0741 2.7792 7.6554

=====

Record 4
8
Lattice="5.2912 0.0000 0.0000 0.0000 5.2912 0.0000 0.0000 0.0000 5.3768" Properties=species:S:1:pos:R:3 comment="MnAg | the Alexandria database | GGA-PBE | relaxed" total_magnetization_mub_per_atom=2.123 ef_ev_per_atom=0.631 spacegroup=P4_2/mnm pbc="T T T"
Ag 4.2792 4.2792 0.0000
Ag 1.0121 1.0121 0.0000
Mn 3.6558 1.6354 0.0000
Ag 3.6577 1.6336 2.6884
Mn 1.0102 1.0102 2.6884
Mn 4.2810 4.2810 2.6884
Ag 1.6336 3.6577 2.6884
Mn 1.6354 3.6558 0.0000